A relaxed structure of LaNiPtCl2. Source: Alexandria via LeMat-Bulk, functional GGA-PBE.

Cell: 4.7828 4.7828 5.7882 Å, 90.00 90.00 90.00°
Sites, in units of the cell vectors:
1 La 0.0000 0.0000 0.0000
2 Ni 0.5000 0.5000 0.0000
3 Pt 0.0000 0.0000 0.5000
4 Cl 0.0000 0.5000 0.5000
5 Cl 0.5000 0.0000 0.5000

Computed properties:
raw total energy: -4.0865 eV/atom
DOS at the Fermi energy: 1.1155 states/eV per atom
symmetry: P4/mmm